# ScIn2SiPt | Alexandria via LeMat-Bulk | GGA-PBE | optimized geometry
data_ScIn2SiPt
_chemical_formula_sum 'Sc1 In2 Si1 Pt1'
_space_group_name_H-M_alt 'P 1'
_space_group_IT_number 1
_cell_length_a 5.086
_cell_length_b 5.088
_cell_length_c 5.086
_cell_angle_alpha 90.00
_cell_angle_beta 90.00
_cell_angle_gamma 90.00
loop_
_space_group_symop_operation_xyz
'x,y,z'
loop_
_atom_site_label
_atom_site_fract_x
_atom_site_fract_y
_atom_site_fract_z
Si1 0.500 0.500 0.500
Sc1 0.000 0.500 0.000
Pt1 0.000 0.000 0.000
In1 0.000 0.000 0.500
In2 0.500 0.000 0.000
# Excess energy over the best structure of this formula in the dataset: 0.0 meV per atom
# Formation energy (no corrections): 0.41 eV/f.u.
# Magnetic moment: 0.00 μB/f.u.
# Space group: P4/mmm (123)